(1)
Below is a crystal of ScBeTl relaxed with PBEsol, with properties calculated at the meta-GGA SCAN level.

abc: 3.1123 3.1123 6.0397
angles: 104.93 104.93 90.00
Closest atoms and distances in Å follow each position.
Atoms (fractional coordinates):
Sc 0.6469 0.6469 0.2939  4 Be 2.75
Be 0.0003 0.0003 0.0006  4 Sc 2.75, 4 Tl 2.76
Tl 0.3527 0.3527 0.7055  4 Be 2.76

Results
Formation energy from the elements ... 0.056 eV per atom
Excess energy over the best structure of this formula in the dataset ... 0.055 eV per atom
N(E_F) ... 1.4 states/eV per cell
Space-group type ... I4mm, No. 107

=====

(2)
Below is a crystal of NaMg2Bi relaxed with PBEsol, with properties calculated at the meta-GGA SCAN level.

abc: 4.6241 4.6241 10.9786
angles: 102.16 102.16 90.00
Closest atoms and distances in Å follow each position.
Atoms (fractional coordinates):
Na 0.7500 0.2500 0.5000  4 Mg 3.11, 4 Bi 3.27
Na 0.5000 0.5000 0.0000  4 Mg 3.11, 4 Bi 3.27
Mg 0.3610 0.8750 0.2500  2 Bi 3.06, 2 Na 3.11, 4 Mg 3.18-3.36
Mg 0.8890 0.3750 0.2500  2 Bi 3.06, 2 Na 3.11, 4 Mg 3.18-3.36
Mg 0.1250 0.1110 0.7500  2 Bi 3.06, 2 Na 3.11, 4 Mg 3.18-3.36
Mg 0.6250 0.6390 0.7500  2 Bi 3.06, 2 Na 3.11, 4 Mg 3.18-3.36
Bi 0.2500 0.7500 0.5000  4 Mg 3.06, 4 Na 3.27
Bi 0.0000 0.0000 0.0000  4 Mg 3.06, 4 Na 3.27

Results
Formation energy from the elements ... 0.044 eV per atom
N(E_F) ... 4.1 states/eV per cell
Space-group type ... I-42d, No. 122

=====

(3)
Below is a crystal of TaAl2Rh relaxed with PBEsol, with properties calculated at the meta-GGA SCAN level.

abc: 2.9688 4.4065 5.3328
angles: 114.40 106.16 90.00
Closest atoms and distances in Å follow each position.
Atoms (fractional coordinates):
Rh 0.4917 0.4917 0.9835  6 Al 2.53-2.66, 2 Ta 2.72
Al 0.0007 0.0007 0.0014  4 Rh 2.66, 2 Ta 2.85, 4 Al 2.90-2.97
Al 0.7700 0.2700 0.5399  2 Rh 2.53, 4 Ta 2.67
Ta 0.2376 0.7376 0.4752  6 Al 2.67-2.85, 2 Rh 2.72, 2 Ta 2.97

Results
Formation energy from the elements ... -0.509 eV per atom
N(E_F) ... 2.2 states/eV per cell
Space-group type ... Imm2, No. 44

=====

(4)
Below is a crystal of InPd relaxed with PBEsol, with properties calculated at the meta-GGA SCAN level.

abc: 3.2439 3.2439 3.2439
angles: 90.00 90.00 90.00
Closest atoms and distances in Å follow each position.
Atoms (fractional coordinates):
Pd 0.5000 0.5000 0.5000  8 In 2.81
In 0.0000 0.0000 0.0000  8 Pd 2.81

Results
Formation energy from the elements ... -0.515 eV per atom
N(E_F) ... 0.6 states/eV per cell
Space-group type ... Pm-3m, No. 221

=====

(5)
Below is a crystal of LiTiAl2Cl relaxed with PBEsol, with properties calculated at the meta-GGA SCAN level.

abc: 4.3729 4.3729 4.9174
angles: 90.00 90.00 90.00
Closest atoms and distances in Å follow each position.
Atoms (fractional coordinates):
Cl 0.5000 0.5000 0.5000  4 Ti 3.09, 8 Al 3.29
Li 0.0000 0.0000 0.0000  4 Al 2.19
Al 0.0000 0.5000 0.0000  2 Li 2.19
Al 0.5000 0.0000 0.0000  2 Li 2.19
Ti 0.0000 0.0000 0.5000  2 Li 2.46

Results
Uncorrected formation energy ... 0.498 eV per atom
N(E_F) ... 2.4 states/eV per cell
Space-group type ... P4/mmm, No. 123

=====

(6)
Below is a crystal of VHRu3 relaxed with PBEsol, with properties calculated at the meta-GGA SCAN level.

abc: 3.8045 3.8045 3.8045
angles: 90.00 90.00 90.00
Closest atoms and distances in Å follow each position.
Atoms (fractional coordinates):
Ru 0.0000 0.5000 0.0000  2 H 1.90
Ru 0.0000 0.0000 0.5000  2 H 1.90
Ru 0.5000 0.0000 0.0000  2 H 1.90
H 0.0000 0.0000 0.0000  6 Ru 1.90
V 0.5000 0.5000 0.5000  12 Ru 2.69

Results
N(E_F) ... 4.1 states/eV per cell
Space-group type ... Pm-3m, No. 221

=====

no.,total DFT energy (no corrections) (eV per formula unit)
1,-90.78
2,-92.57
3,-117.89
4,-67.19
5,-39.41
6,-125.89